[1]
Here is a relaxed Ba5LiAu2 crystal from Alexandria via LeMat-Bulk. Energies are from PBE.

```
Ba5LiAu2
1.0
1.474 5.361 -7.230
2.695 -7.253 -4.829
-9.920 -0.292 3.514
Li Ba Au
2 10 4
Direct
0.250 0.250 0.500 Li
0.750 0.750 0.500 Li
0.027 0.527 0.733 Ba
0.206 0.027 0.733 Ba
0.794 0.973 0.267 Ba
0.706 0.206 0.733 Ba
0.973 0.473 0.267 Ba
0.000 0.000 0.000 Ba
0.294 0.794 0.267 Ba
0.500 0.500 0.000 Ba
0.527 0.706 0.733 Ba
0.473 0.294 0.267 Ba
0.862 0.638 0.000 Au
0.138 0.362 0.000 Au
0.638 0.138 0.000 Au
0.362 0.862 0.000 Au
```

Calculated values
crystal system = tetragonal

***

[2]
Here is a relaxed Ba3Li4Au2 crystal from Alexandria via LeMat-Bulk. Energies are from PBE.

```
Ba3Li4Au2
1.0
4.647 0.000 0.000
-2.324 6.099 -0.472
0.000 -3.193 10.084
Ba Li Au
3 4 2
Direct
0.611 0.222 0.691 Ba
0.389 0.778 0.309 Ba
0.000 0.000 0.000 Ba
0.835 0.670 0.566 Li
0.165 0.330 0.434 Li
0.725 0.450 0.071 Li
0.275 0.550 0.929 Li
0.669 0.338 0.291 Au
0.331 0.662 0.709 Au
```

Calculated values
crystal system = monoclinic
energy relative to the lowest polymorph listed for this composition = 14 meV/atom

***

Number 1: energy of formation -0.384 eV per atom, size of the total moment 0.00 μB/cell. Number 2: energy of formation -0.305 eV per atom, size of the total moment 0.00 μB/cell.